10
Lattice="3.826 0.000 0.000 0.000 3.826 0.000 0.000 0.000 19.075" Properties=species:S:1:pos:R:3 comment="Tl2InAs2 PBE relaxed" formation_energy_mev_per_atom=113.9 relative_energy_mev_per_atom=79.0 total_magnetization_mub_per_cell=0.000 pbc="T T T"
Tl 0.000 0.000 2.151
Tl 0.000 0.000 16.924
Tl 1.913 1.913 7.386
Tl 1.913 1.913 11.688
In 0.000 0.000 9.537
In 1.913 1.913 0.000
As 0.000 1.913 4.769
As 0.000 1.913 14.306
As 1.913 0.000 4.769
As 1.913 0.000 14.306